Entry 1:
This record from Alexandria via LeMat-Bulk describes crystalline AlRh2Au at its relaxed geometry. The functional is PBE.

Cell and atoms, written as CIF:
```
data_AlRh2Au
_cell_length_a 2.8403
_cell_length_b 2.8403
_cell_length_c 25.9694
_cell_angle_alpha 90.00
_cell_angle_beta 90.00
_cell_angle_gamma 120.00
_space_group_name_H-M_alt 'R -3 m'
_space_group_IT_number 166
_space_group_name_Hall '-R 3 2"'
loop_
_atom_site_label
_atom_site_fract_x
_atom_site_fract_y
_atom_site_fract_z
Al1 0.0000 0.0000 0.0000
Rh1 0.0000 0.0000 0.2592
Au1 0.0000 0.0000 0.5000
```

Values from the calculation:
E: -69.611 eV for the cell shown
spin magnetization: 0.3 μB per formula unit
energy of formation: -370 meV per atom


Entry 2:
This record from Alexandria via LeMat-Bulk describes crystalline Ba3Na2Pb4 at its relaxed geometry. The functional is PBE.

Cell and atoms, written as CIF:
```
data_Ba3Na2Pb4
_cell_length_a 13.311
_cell_length_b 5.171
_cell_length_c 10.436
_cell_angle_alpha 90.00
_cell_angle_beta 105.61
_cell_angle_gamma 90.00
_space_group_name_H-M_alt 'C 1 2/m 1'
_space_group_IT_number 12
_space_group_name_Hall '-C 2y'
loop_
_atom_site_label
_atom_site_fract_x
_atom_site_fract_y
_atom_site_fract_z
Ba1 0.000 0.000 0.000
Ba2 0.126 0.500 0.699
Na1 0.190 0.500 0.362
Pb1 0.072 0.000 0.409
Pb2 0.213 0.500 0.065
```

Values from the calculation:
E: -53.579 eV for the cell shown
spin magnetization: 0.0 μB per formula unit
energy of formation: -394 meV per atom


Entry 3:
This record from Alexandria via LeMat-Bulk describes crystalline Pr2Ga5Cu3 at its relaxed geometry. The functional is PBE.

Cell and atoms, written as CIF:
```
data_Pr2Ga5Cu3
_cell_length_a 4.334
_cell_length_b 4.334
_cell_length_c 10.108
_cell_angle_alpha 90.00
_cell_angle_beta 90.00
_cell_angle_gamma 90.00
_space_group_name_H-M_alt 'P -4 m 2'
_space_group_IT_number 115
_space_group_name_Hall 'P -4 -2'
loop_
_atom_site_label
_atom_site_fract_x
_atom_site_fract_y
_atom_site_fract_z
Pr1 0.000 0.500 0.235
Ga1 0.000 0.000 0.500
Ga2 0.000 0.500 0.653
Ga3 0.500 0.500 0.000
Ga4 0.500 0.500 0.500
Cu1 0.000 0.000 0.000
Cu2 0.000 0.500 0.888
```

Values from the calculation:
E: -41.158 eV for the cell shown
spin magnetization: 0.0 μB per formula unit
energy of formation: -418 meV per atom


Entry 4:
This record from Alexandria via LeMat-Bulk describes crystalline SrMg2ZnIn4 at its relaxed geometry. The functional is PBE.

Cell and atoms, written as CIF:
```
data_SrMg2ZnIn4
_cell_length_a 5.0727
_cell_length_b 5.0727
_cell_length_c 27.9174
_cell_angle_alpha 90.00
_cell_angle_beta 90.00
_cell_angle_gamma 120.00
_space_group_name_H-M_alt 'R -3 m'
_space_group_IT_number 166
_space_group_name_Hall '-R 3 2"'
loop_
_atom_site_label
_atom_site_fract_x
_atom_site_fract_y
_atom_site_fract_z
Sr1 0.0000 0.0000 0.0000
Mg1 0.0000 0.0000 0.2463
Zn1 0.0000 0.0000 0.5000
In1 0.0000 0.0000 0.1295
In2 0.0000 0.0000 0.3970
```

Values from the calculation:
E: -54.746 eV for the cell shown
spin magnetization: 0.0 μB per formula unit
energy of formation: -144 meV per atom


Entry 5:
This record from Alexandria via LeMat-Bulk describes crystalline ErAl2Rh at its relaxed geometry. The functional is PBE.

Cell and atoms, written as CIF:
```
data_ErAl2Rh
_cell_length_a 3.2200
_cell_length_b 3.2200
_cell_length_c 25.7876
_cell_angle_alpha 90.00
_cell_angle_beta 90.00
_cell_angle_gamma 120.00
_space_group_name_H-M_alt 'R -3 m'
_space_group_IT_number 166
_space_group_name_Hall '-R 3 2"'
loop_
_atom_site_label
_atom_site_fract_x
_atom_site_fract_y
_atom_site_fract_z
Er1 0.0000 0.0000 0.0000
Al1 0.0000 0.0000 0.2340
Rh1 0.0000 0.0000 0.5000
```

Values from the calculation:
E: -62.259 eV for the cell shown
spin magnetization: 0.0 μB per formula unit
energy of formation: -338 meV per atom


Entry 6:
This record from Alexandria via LeMat-Bulk describes crystalline La8Pm2Y3 at its relaxed geometry. The functional is PBE.

Cell and atoms, written as CIF:
```
data_La8Pm2Y3
_cell_length_a 5.820
_cell_length_b 7.775
_cell_length_c 10.802
_cell_angle_alpha 74.12
_cell_angle_beta 89.94
_cell_angle_gamma 89.84
_space_group_name_H-M_alt 'P -1'
_space_group_IT_number 2
_space_group_name_Hall '-P 1'
loop_
_atom_site_label
_atom_site_fract_x
_atom_site_fract_y
_atom_site_fract_z
La1 0.000 0.095 0.154
La2 0.001 0.578 0.224
La3 0.499 0.728 0.702
La4 0.500 0.128 0.715
Pm1 0.499 0.271 0.982
Y1 0.001 0.220 0.506
Y2 0.500 0.500 0.500
```

Values from the calculation:
E: -66.110 eV for the cell shown
spin magnetization: 0.0 μB per formula unit
energy of formation: 169 meV per atom


Entry 7:
This record from Alexandria via LeMat-Bulk describes crystalline EuDyTm2 at its relaxed geometry. The functional is PBE.

Cell and atoms, written as CIF:
```
data_EuDyTm2
_cell_length_a 3.573
_cell_length_b 3.573
_cell_length_c 10.221
_cell_angle_alpha 90.00
_cell_angle_beta 90.00
_cell_angle_gamma 90.00
_space_group_name_H-M_alt 'P 4/m m m'
_space_group_IT_number 123
_space_group_name_Hall '-P 4 2'
loop_
_atom_site_label
_atom_site_fract_x
_atom_site_fract_y
_atom_site_fract_z
Eu1 0.000 0.000 0.000
Dy1 0.000 0.000 0.500
Tm1 0.500 0.500 0.266
```

Values from the calculation:
E: -23.540 eV for the cell shown
spin magnetization: 7.6 μB per formula unit
energy of formation: 70 meV per atom


Entry 8:
This record from Alexandria via LeMat-Bulk describes crystalline Ta2CrPb at its relaxed geometry. The functional is PBE.

Cell and atoms, written as CIF:
```
data_Ta2CrPb
_cell_length_a 3.080
_cell_length_b 3.080
_cell_length_c 7.936
_cell_angle_alpha 90.00
_cell_angle_beta 90.00
_cell_angle_gamma 90.00
_space_group_name_H-M_alt 'P 4/m m m'
_space_group_IT_number 123
_space_group_name_Hall '-P 4 2'
loop_
_atom_site_label
_atom_site_fract_x
_atom_site_fract_y
_atom_site_fract_z
Ta1 0.000 0.000 0.189
Cr1 0.500 0.500 0.000
Pb1 0.500 0.500 0.500
```

Values from the calculation:
E: -35.611 eV for the cell shown
spin magnetization: 0.0 μB per formula unit
energy of formation: 356 meV per atom